*one*
The following is a PBE calculation of a relaxed Pr6Al2Tl crystal, from Alexandria via LeMat-Bulk.

Cell lengths 9.071, 9.071, 9.071 Å; angles 111.84, 111.26, 105.39 degrees
Sites, in units of the cell vectors:
Pr 0.035 0.822 0.213
Pr 0.245 0.541 0.296
Pr 0.245 0.949 0.704
Pr 0.277 0.315 0.592
Pr 0.277 0.685 0.961
Pr 0.391 0.178 0.213
Pr 0.609 0.822 0.787
Pr 0.723 0.315 0.039
Pr 0.723 0.685 0.408
Pr 0.755 0.051 0.296
Pr 0.755 0.459 0.704
Pr 0.965 0.178 0.787
Al 0.000 0.136 0.136
Al 0.000 0.864 0.864
Al 0.380 0.380 0.000
Al 0.620 0.620 0.000
Tl 0.000 0.500 0.500
Tl 0.500 0.000 0.500

Calculated values
- V: 31.80 A^3/atom

=====

*two*
The following is a PBE calculation of a relaxed Pr6Al2Tl crystal, from Alexandria via LeMat-Bulk.

Cell lengths 6.022, 9.257, 11.204 Å; angles 90.00, 116.14, 90.00 degrees
Sites, in units of the cell vectors:
Pr 0.005 0.157 0.081
Pr 0.005 0.343 0.581
Pr 0.387 0.518 0.307
Pr 0.387 0.982 0.807
Pr 0.396 0.173 0.437
Pr 0.396 0.327 0.937
Pr 0.604 0.673 0.063
Pr 0.604 0.827 0.563
Pr 0.613 0.018 0.193
Pr 0.613 0.482 0.693
Pr 0.995 0.657 0.419
Pr 0.995 0.843 0.919
Al 0.179 0.644 0.746
Al 0.179 0.856 0.246
Al 0.821 0.144 0.754
Al 0.821 0.356 0.254
Tl 0.000 0.000 0.500
Tl 0.000 0.500 0.000

Calculated values
- V: 31.15 A^3/atom

=====

Which structure is most stable, and how do the rest compare? From most to least stable: *one*, *two*.

=====

*one*
The following is a PBE calculation of a relaxed PrTm3Al2 crystal, from Alexandria via LeMat-Bulk.

Cell lengths 3.528, 3.528, 12.546 Å; angles 90.00, 90.00, 90.00 degrees
Sites, in units of the cell vectors:
Pr 0.000 0.000 0.000
Tm 0.500 0.500 0.210
Tm 0.500 0.500 0.500
Tm 0.500 0.500 0.790
Al 0.000 0.000 0.354
Al 0.000 0.000 0.646

Calculated values
- V: 26.03 A^3/atom

=====

*two*
The following is a PBE calculation of a relaxed PrTm3Al2 crystal, from Alexandria via LeMat-Bulk.

Cell lengths 8.302, 8.302, 8.893 Å; angles 116.85, 116.85, 36.61 degrees
Sites, in units of the cell vectors:
Pr 0.132 0.132 0.182
Pr 0.868 0.868 0.818
Tm 0.062 0.062 0.716
Tm 0.312 0.312 0.012
Tm 0.384 0.384 0.470
Tm 0.616 0.616 0.530
Tm 0.688 0.688 0.988
Tm 0.938 0.938 0.284
Al 0.230 0.230 0.603
Al 0.480 0.480 0.842
Al 0.520 0.520 0.158
Al 0.770 0.770 0.397

Calculated values
- V: 26.79 A^3/atom

=====

Which structure is most stable, and how do the rest compare? From most to least stable: *one*, *two*.

=====

*one*
The following is a PBE calculation of a relaxed PrTm4Al2 crystal, from Alexandria via LeMat-Bulk.

Cell lengths 7.492, 7.492, 7.492 Å; angles 136.14, 136.14, 63.77 degrees
Sites, in units of the cell vectors:
Pr 0.000 0.000 0.000
Tm 0.000 0.500 0.500
Tm 0.250 0.750 0.500
Tm 0.500 0.000 0.500
Tm 0.750 0.250 0.500
Al 0.384 0.384 0.000
Al 0.616 0.616 0.000

Calculated values
- V: 28.46 A^3/atom

=====

*two*
The following is a PBE calculation of a relaxed PrTm4Al2 crystal, from Alexandria via LeMat-Bulk.

Cell lengths 8.324, 8.324, 8.324 Å; angles 37.03, 37.03, 37.03 degrees
Sites, in units of the cell vectors:
Pr 0.000 0.000 0.000
Tm 0.155 0.155 0.155
Tm 0.422 0.422 0.422
Tm 0.578 0.578 0.578
Tm 0.845 0.845 0.845
Al 0.282 0.282 0.282
Al 0.718 0.718 0.718

Calculated values
- V: 26.77 A^3/atom

=====

Which structure is most stable, and how do the rest compare? From most to least stable: *two*, *one*.

=====

*one*
The following is a PBE calculation of a relaxed Pr2Tm2Al crystal, from Alexandria via LeMat-Bulk.

Cell lengths 12.089, 12.089, 12.089 Å; angles 163.16, 163.16, 23.91 degrees
Sites, in units of the cell vectors:
Pr 0.189 0.189 0.000
Pr 0.811 0.811 0.000
Tm 0.421 0.421 0.000
Tm 0.579 0.579 0.000
Al 0.000 0.000 0.000

Calculated values
- V: 29.66 A^3/atom

=====

*two*
The following is a PBE calculation of a relaxed Pr2Tm2Al crystal, from Alexandria via LeMat-Bulk.

Cell lengths 8.998, 8.998, 8.998 Å; angles 31.79, 31.79, 31.79 degrees
Sites, in units of the cell vectors:
Pr 0.065 0.065 0.065
Pr 0.935 0.935 0.935
Tm 0.199 0.199 0.199
Tm 0.801 0.801 0.801
Al 0.500 0.500 0.500

Calculated values
- V: 35.90 A^3/atom

=====

Which structure is most stable, and how do the rest compare? From most to least stable: *one*, *two*.